The following is a PBE-GGA calculation of an optimized crystal structure of Tc2TeRh2, from Alexandria via LeMat-Bulk.

abc: 7.7431 7.7431 2.8120
angles: 90.00 90.00 90.00
With the nearest neighbours (Å) after each atom.
Element x y z (fractional)
1 Tc 0.8850 0.3850 0.5000  3 Tc 2.52-2.81, 6 Rh 2.67-2.72
2 Tc 0.6150 0.8850 0.5000  3 Tc 2.52-2.81, 6 Rh 2.67-2.72
3 Tc 0.1150 0.6150 0.5000  3 Tc 2.52-2.81, 6 Rh 2.67-2.72
4 Tc 0.3850 0.1150 0.5000  3 Tc 2.52-2.81, 6 Rh 2.67-2.72
5 Rh 0.6723 0.1723 0.0000  6 Tc 2.67-2.72, 2 Rh 2.81, 2 Te 2.87
6 Rh 0.1723 0.3277 0.0000  6 Tc 2.67-2.72, 2 Rh 2.81, 2 Te 2.87
7 Rh 0.3277 0.8277 0.0000  6 Tc 2.67-2.72, 2 Rh 2.81, 2 Te 2.87
8 Rh 0.8277 0.6723 0.0000  6 Tc 2.67-2.72, 2 Rh 2.81, 2 Te 2.87
9 Te 0.5000 0.5000 0.0000  2 Te 2.81, 4 Rh 2.87
10 Te 0.0000 0.0000 0.0000  2 Te 2.81, 4 Rh 2.87

Values from the calculation:
Fermi-level density of states   6.67 states/eV/f.u.
Excess energy over the best structure of this formula in the dataset   58 meV/atom
Symmetry   P4/mbm (127)

---

The following is a PBE-GGA calculation of an optimized crystal structure of Pm2PuTh, from Alexandria via LeMat-Bulk.

abc: 5.1817 4.9291 4.9291
angles: 90.00 90.00 90.00
With the nearest neighbours (Å) after each atom.
Element x y z (fractional)
1 Pm 0.0000 0.0000 0.5000  4 Pm 3.49, 4 Th 3.58, 4 Pu 3.58
2 Pm 0.0000 0.5000 0.0000  4 Pm 3.49, 4 Th 3.58, 4 Pu 3.58
3 Th 0.5000 0.0000 0.0000  4 Pu 3.49, 8 Pm 3.58
4 Pu 0.5000 0.5000 0.5000  4 Th 3.49, 8 Pm 3.58

Values from the calculation:
Fermi-level density of states   13.44 states/eV/f.u.
Excess energy over the best structure of this formula in the dataset   0 meV/atom
Symmetry   P4/mmm (123)

---

The following is a PBE-GGA calculation of an optimized crystal structure of Er6Pt2PbSe3, from Alexandria via LeMat-Bulk.

abc: 3.9720 8.5875 9.5940
angles: 110.96 101.95 90.00
With the nearest neighbours (Å) after each atom.
Element x y z (fractional)
1 Er 0.6772 0.5565 0.3543  3 Pt 2.84-2.89, 2 Se 3.09
2 Er 0.3228 0.4435 0.6457  3 Pt 2.84-2.89, 2 Se 3.09
3 Er 0.0025 0.7290 0.0049  3 Se 2.78-2.85, 1 Pt 2.90, 2 Pb 3.07
4 Er 0.9975 0.2710 0.9951  3 Se 2.78-2.85, 1 Pt 2.90, 2 Pb 3.07
5 Er 0.6756 0.0881 0.3512  3 Se 2.81-2.98, 2 Pt 2.85, 1 Pb 3.10
6 Er 0.3244 0.9119 0.6488  3 Se 2.81-2.98, 2 Pt 2.85, 1 Pb 3.10
7 Se 0.1648 0.8217 0.3295  6 Er 2.81-3.09
8 Se 0.5000 0.5000 0.0000  4 Er 2.78
9 Se 0.8352 0.1783 0.6705  6 Er 2.81-3.09
10 Pb 0.5000 0.0000 0.0000  6 Er 3.07-3.10
11 Pt 0.1574 0.3082 0.3149  6 Er 2.84-2.90
12 Pt 0.8426 0.6918 0.6851  6 Er 2.84-2.90

Values from the calculation:
Uncorrected energy   -69.612 eV per cell
Fermi-level density of states   5.56 states/eV/f.u.
Symmetry   C2/m (12)

---

Question: Look up the Fermi-level density of states of the first one.
Answer: 6.67 states/eV/f.u.

---

Question: Which value of Fermi-level density of states does entry 1 give?
Answer: 6.67 states/eV/f.u.